Record 1
## CdPtAu (GGA-PBE)

Data for CdPtAu after structural relaxation.

Properties
* magnetic moment: 0.00 μB per cell
* energy of formation: -0.1 eV per formula unit
* electronic total energy: -20.65 eV per cell
* relative energy among the computed polymorphs: 0.154 eV per atom

abc: 10.3896 10.3896 10.3896
angles: 161.06 161.06 26.91
With the nearest neighbours (Å) after each atom.
Fractional coordinates of all 6 atoms:
Cd  0.1414  0.1414  0.0000  5 Pt 2.81-2.95, 4 Au 2.86
Cd  0.8586  0.8586  0.0000  5 Pt 2.81-2.95, 4 Au 2.86
Pt  0.2873  0.2873  0.0000  5 Cd 2.81-2.95, 4 Pt 2.85, 1 Au 2.97
Pt  0.7127  0.7127  0.0000  5 Cd 2.81-2.95, 4 Pt 2.85, 1 Au 2.97
Au  0.4344  0.4344  0.0000  1 Au 2.65, 4 Cd 2.86
Au  0.5656  0.5656  0.0000  1 Au 2.65, 4 Cd 2.86

Record 2
## Cd3Pt12Au (GGA-PBE)

Data for Cd3Pt12Au after structural relaxation.

Properties
* magnetic moment: 0.00 μB per cell
* energy of formation: -2.1 eV per formula unit
* electronic total energy: -80.56 eV per cell

abc: 4.0288 4.0288 16.1727
angles: 90.00 90.00 90.00
With the nearest neighbours (Å) after each atom.
Fractional coordinates of all 16 atoms:
Cd  0.0000  0.0000  0.0000  12 Pt 2.85-2.86
Cd  0.0000  0.0000  0.2507  12 Pt 2.85-2.86
Cd  0.0000  0.0000  0.7493  12 Pt 2.85-2.86
Pt  0.0000  0.5000  0.1253  8 Pt 2.85-2.86, 4 Cd 2.86
Pt  0.0000  0.5000  0.3757  8 Pt 2.85-2.86, 2 Au 2.85, 2 Cd 2.85
Pt  0.0000  0.5000  0.6243  8 Pt 2.85-2.86, 2 Au 2.85, 2 Cd 2.85
Pt  0.0000  0.5000  0.8747  8 Pt 2.85-2.86, 4 Cd 2.86
Pt  0.5000  0.0000  0.1253  8 Pt 2.85-2.86, 4 Cd 2.86
Pt  0.5000  0.0000  0.3757  8 Pt 2.85-2.86, 2 Au 2.85, 2 Cd 2.85
Pt  0.5000  0.0000  0.6243  8 Pt 2.85-2.86, 2 Au 2.85, 2 Cd 2.85
Pt  0.5000  0.0000  0.8747  8 Pt 2.85-2.86, 4 Cd 2.86
Pt  0.5000  0.5000  0.0000  4 Cd 2.85, 8 Pt 2.86
Pt  0.5000  0.5000  0.2503  4 Cd 2.85, 8 Pt 2.85-2.86
Pt  0.5000  0.5000  0.5000  8 Pt 2.85, 4 Au 2.85
Pt  0.5000  0.5000  0.7497  4 Cd 2.85, 8 Pt 2.85-2.86
Au  0.0000  0.0000  0.5000  12 Pt 2.85

Record 3
## Cd2Pt2Au (GGA-PBE)

Data for Cd2Pt2Au after structural relaxation.

Properties
* magnetic moment: 0.00 μB per cell
* energy of formation: -0.2 eV per formula unit
* electronic total energy: -34.77 eV per cell
* relative energy among the computed polymorphs: 0.173 eV per atom

abc: 4.5540 4.5540 10.8024
angles: 90.00 90.00 120.00
With the nearest neighbours (Å) after each atom.
Fractional coordinates of all 10 atoms:
Cd  0.3333  0.6667  0.0987  6 Pt 2.84-3.10, 3 Au 3.10
Cd  0.3333  0.6667  0.4013  6 Pt 2.84-3.10, 3 Au 3.10
Cd  0.6667  0.3333  0.5987  6 Pt 2.84-3.10, 3 Au 3.10
Cd  0.6667  0.3333  0.9013  6 Pt 2.84-3.10, 3 Au 3.10
Pt  0.0000  0.0000  0.0000  2 Au 2.70, 6 Cd 2.84
Pt  0.0000  0.0000  0.5000  2 Au 2.70, 6 Cd 2.84
Pt  0.3333  0.6667  0.7500  3 Au 2.63
Pt  0.6667  0.3333  0.2500  3 Au 2.63
Au  0.0000  0.0000  0.2500  5 Pt 2.63-2.70
Au  0.0000  0.0000  0.7500  5 Pt 2.63-2.70

Record 4
## CdPt2Au (GGA-PBE)

Data for CdPt2Au after structural relaxation.

Properties
* magnetic moment: 0.00 μB per cell
* energy of formation: -0.5 eV per formula unit
* electronic total energy: -16.78 eV per cell

abc: 4.9595 4.9595 4.9595
angles: 130.58 130.58 72.49
With the nearest neighbours (Å) after each atom.
Fractional coordinates of all 4 atoms:
Cd  0.0000  0.0000  0.0000  4 Au 2.88, 8 Pt 2.88-2.93
Pt  0.2500  0.7500  0.5000  4 Pt 2.88, 4 Cd 2.88, 4 Au 2.93
Pt  0.5000  0.5000  0.0000  4 Pt 2.88, 4 Au 2.88, 4 Cd 2.93
Au  0.7500  0.2500  0.5000  4 Cd 2.88, 8 Pt 2.88-2.93

Record 5
## Cd2Pt3Au3 (GGA-PBE)

Data for Cd2Pt3Au3 after structural relaxation.

Properties
* magnetic moment: 0.00 μB per cell
* energy of formation: -1.5 eV per formula unit
* electronic total energy: -31.29 eV per cell

abc: 4.1193 4.1962 8.0594
angles: 90.00 90.00 90.00
With the nearest neighbours (Å) after each atom.
Fractional coordinates of all 8 atoms:
Cd  0.0000  0.0000  0.2449  6 Pt 2.85-2.91, 6 Au 2.94
Cd  0.0000  0.0000  0.7551  6 Pt 2.85-2.91, 6 Au 2.94
Pt  0.0000  0.5000  0.0000  4 Au 2.86, 4 Cd 2.88, 4 Pt 2.94
Pt  0.5000  0.0000  0.0000  4 Cd 2.85, 4 Au 2.89, 4 Pt 2.94
Pt  0.5000  0.0000  0.5000  4 Cd 2.91, 8 Au 2.93-2.94
Au  0.0000  0.5000  0.5000  4 Au 2.90, 4 Cd 2.94, 4 Pt 2.94
Au  0.5000  0.5000  0.2466  6 Pt 2.86-2.93, 2 Au 2.90, 4 Cd 2.94
Au  0.5000  0.5000  0.7534  6 Pt 2.86-2.93, 2 Au 2.90, 4 Cd 2.94

Record 6
## Cd5PtAu6 (GGA-PBE)

Data for Cd5PtAu6 after structural relaxation.

Properties
* magnetic moment: 0.00 μB per cell
* energy of formation: -1.8 eV per formula unit
* electronic total energy: -32.10 eV per cell

abc: 5.0578 6.0740 7.9311
angles: 68.46 85.63 89.77
With the nearest neighbours (Å) after each atom.
Fractional coordinates of all 12 atoms:
Cd  0.0000  0.0000  0.0000  8 Au 2.92-2.97, 2 Pt 3.04, 2 Cd 3.08
Cd  0.3085  0.3360  0.3283  8 Au 2.90-3.01, 1 Pt 2.98, 3 Cd 3.04-3.22
Cd  0.3230  0.8318  0.3361  8 Au 2.92-3.01, 4 Cd 3.04-3.22
Cd  0.6770  0.1682  0.6639  8 Au 2.92-3.01, 4 Cd 3.04-3.22
Cd  0.6915  0.6640  0.6717  8 Au 2.90-3.01, 1 Pt 2.98, 3 Cd 3.04-3.22
Pt  0.0000  0.5000  0.0000  8 Au 2.91-2.96, 4 Cd 2.98-3.04
Au  0.1811  0.9131  0.6721  7 Cd 2.91-3.01, 1 Pt 2.96, 4 Au 3.01-3.25
Au  0.1827  0.4164  0.6728  7 Cd 2.90-2.99, 1 Pt 2.91, 3 Au 3.01-3.06
Au  0.4986  0.7476  0.9996  6 Cd 2.92-3.01, 2 Pt 2.94, 4 Au 3.01-3.07
Au  0.5014  0.2524  0.0004  6 Cd 2.92-3.01, 2 Pt 2.94, 4 Au 3.01-3.07
Au  0.8173  0.5836  0.3272  7 Cd 2.90-2.99, 1 Pt 2.91, 3 Au 3.01-3.06
Au  0.8189  0.0869  0.3279  7 Cd 2.91-3.01, 1 Pt 2.96, 4 Au 3.01-3.25

Record 7
## Cd4PtAu (GGA-PBE)

Data for Cd4PtAu after structural relaxation.

Properties
* magnetic moment: 0.00 μB per cell
* energy of formation: -1.3 eV per formula unit
* electronic total energy: -28.51 eV per cell
* relative energy among the computed polymorphs: 0.000 eV per atom

abc: 7.3727 7.3727 7.3727
angles: 125.53 125.53 80.67
With the nearest neighbours (Å) after each atom.
Fractional coordinates of all 12 atoms:
Cd  0.0318  0.5318  0.8298  2 Pt 2.84, 2 Au 2.93, 3 Cd 2.99-3.15
Cd  0.2020  0.0318  0.5000  2 Pt 2.84, 2 Au 2.93, 3 Cd 2.99-3.15
Cd  0.2980  0.7980  0.8298  2 Pt 2.84, 2 Au 2.93, 3 Cd 2.99-3.15
Cd  0.4682  0.2980  0.5000  2 Pt 2.84, 2 Au 2.93, 3 Cd 2.99-3.15
Cd  0.5318  0.7020  0.5000  2 Pt 2.84, 2 Au 2.93, 3 Cd 2.99-3.15
Cd  0.7020  0.2020  0.1702  2 Pt 2.84, 2 Au 2.93, 3 Cd 2.99-3.15
Cd  0.7980  0.9682  0.5000  2 Pt 2.84, 2 Au 2.93, 3 Cd 2.99-3.15
Cd  0.9682  0.4682  0.1702  2 Pt 2.84, 2 Au 2.93, 3 Cd 2.99-3.15
Pt  0.2500  0.2500  0.0000  2 Au 2.81, 8 Cd 2.84
Pt  0.7500  0.7500  0.0000  2 Au 2.81, 8 Cd 2.84
Au  0.0000  0.0000  0.0000  2 Pt 2.81, 8 Cd 2.93
Au  0.5000  0.5000  0.0000  2 Pt 2.81, 8 Cd 2.93

Record 8
## Cd4PtAu (GGA-PBE)

Data for Cd4PtAu after structural relaxation.

Properties
* magnetic moment: 0.00 μB per cell
* energy of formation: 0.9 eV per formula unit
* electronic total energy: -12.03 eV per cell
* relative energy among the computed polymorphs: 0.370 eV per atom

abc: 5.5462 5.5462 5.5462
angles: 60.00 60.00 60.00
With the nearest neighbours (Å) after each atom.
Fractional coordinates of all 6 atoms:
Cd  0.1248  0.1248  0.1248  6 Cd 2.77-2.78
Cd  0.1248  0.1248  0.6255  6 Cd 2.77-2.78
Cd  0.1248  0.6255  0.1248  6 Cd 2.77-2.78
Cd  0.6255  0.1248  0.1248  6 Cd 2.77-2.78
Pt  0.7500  0.7500  0.7500  12 Cd 3.25, 4 Au 3.40
Au  0.5000  0.5000  0.5000  12 Cd 3.25, 4 Pt 3.40

Record 9
## Cd2PtAu2 (GGA-PBE)

Data for Cd2PtAu2 after structural relaxation.

Properties
* magnetic moment: 0.00 μB per cell
* energy of formation: 0.3 eV per formula unit
* electronic total energy: -28.21 eV per cell
* relative energy among the computed polymorphs: 0.187 eV per atom

abc: 7.8562 7.8562 3.1535
angles: 90.00 90.00 90.00
With the nearest neighbours (Å) after each atom.
Fractional coordinates of all 10 atoms:
Cd  0.1658  0.3342  0.0000  6 Au 2.74-2.84, 2 Pt 2.93
Cd  0.3342  0.8342  0.0000  6 Au 2.74-2.84, 2 Pt 2.93
Cd  0.6658  0.1658  0.0000  6 Au 2.74-2.84, 2 Pt 2.93
Cd  0.8342  0.6658  0.0000  6 Au 2.74-2.84, 2 Pt 2.93
Pt  0.0000  0.0000  0.0000  4 Cd 2.93, 2 Pt 3.15
Pt  0.5000  0.5000  0.0000  4 Cd 2.93, 2 Pt 3.15
Au  0.1330  0.6330  0.5000  6 Cd 2.74-2.84, 1 Au 2.96
Au  0.3670  0.1330  0.5000  6 Cd 2.74-2.84, 1 Au 2.96
Au  0.6330  0.8670  0.5000  6 Cd 2.74-2.84, 1 Au 2.96
Au  0.8670  0.3670  0.5000  6 Cd 2.74-2.84, 1 Au 2.96

Record 10
## Cd5PtAu2 (GGA-PBE)

Data for Cd5PtAu2 after structural relaxation.

Properties
* magnetic moment: 0.00 μB per cell
* energy of formation: -1.4 eV per formula unit
* electronic total energy: -37.15 eV per cell

abc: 5.8767 11.6581 4.6029
angles: 90.00 90.00 90.00
With the nearest neighbours (Å) after each atom.
Fractional coordinates of all 16 atoms:
Cd  0.0000  0.0000  0.0000  2 Pt 2.94, 4 Au 2.98, 6 Cd 3.10-3.23
Cd  0.0855  0.2628  0.0000  1 Pt 2.81, 3 Cd 2.95-3.10, 4 Au 2.97-3.07
Cd  0.1762  0.6053  0.5000  2 Pt 2.81, 4 Au 2.87-3.06
Cd  0.3238  0.1053  0.5000  2 Pt 2.81, 4 Au 2.87-3.06
Cd  0.4145  0.7628  0.0000  1 Pt 2.81, 3 Cd 2.95-3.10, 4 Au 2.97-3.07
Cd  0.5000  0.5000  0.0000  2 Pt 2.94, 4 Au 2.98, 6 Cd 3.10-3.23
Cd  0.5855  0.2372  0.0000  1 Pt 2.81, 3 Cd 2.95-3.10, 4 Au 2.97-3.07
Cd  0.6762  0.8947  0.5000  2 Pt 2.81, 4 Au 2.87-3.06
Cd  0.8238  0.3947  0.5000  2 Pt 2.81, 4 Au 2.87-3.06
Cd  0.9145  0.7372  0.0000  1 Pt 2.81, 3 Cd 2.95-3.10, 4 Au 2.97-3.07
Pt  0.0000  0.5000  0.0000  8 Cd 2.81-2.94
Pt  0.5000  0.0000  0.0000  8 Cd 2.81-2.94
Au  0.1597  0.8595  0.5000  10 Cd 2.87-3.07
Au  0.3403  0.3595  0.5000  10 Cd 2.87-3.07
Au  0.6597  0.6405  0.5000  10 Cd 2.87-3.07
Au  0.8403  0.1405  0.5000  10 Cd 2.87-3.07

Record 11
## CdPt2Au (GGA-PBE)

Data for CdPt2Au after structural relaxation.

Properties
* magnetic moment: 0.00 μB per cell
* energy of formation: 0.4 eV per formula unit
* electronic total energy: -31.84 eV per cell

abc: 10.1251 10.1251 10.1251
angles: 157.65 157.65 31.82
With the nearest neighbours (Å) after each atom.
Fractional coordinates of all 8 atoms:
Cd  0.0000  0.0000  0.0000  4 Au 2.78, 4 Pt 2.81
Cd  0.7500  0.2500  0.5000  4 Au 2.78, 4 Pt 2.81
Pt  0.1318  0.6250  0.0068  4 Pt 2.74-2.81, 2 Au 2.79, 2 Cd 2.81
Pt  0.3750  0.3818  0.5068  4 Pt 2.74-2.81, 2 Au 2.79, 2 Cd 2.81
Pt  0.6182  0.1250  0.9932  4 Pt 2.74-2.81, 2 Au 2.79, 2 Cd 2.81
Pt  0.8750  0.8682  0.4932  4 Pt 2.74-2.81, 2 Au 2.79, 2 Cd 2.81
Au  0.2500  0.7500  0.5000  4 Cd 2.78, 4 Pt 2.79
Au  0.5000  0.5000  0.0000  4 Cd 2.78, 4 Pt 2.79